1.
TaSbPb2: optimized geometry, PBE.

magnetization: 0.0 μB/f.u.
raw formation energy: 1.9 eV/f.u.

a b c (Å): 3.9292 4.8952 10.9142
angles (deg): 90.00 90.00 90.00
Last column: nearest neighbours and their distance in Å.
Space group Cmmm (No. 65)
Asymmetric unit:
Ta1 0.0000 0.0000 0.0000 (multiplicity 2)  8 Pb 3.08-3.41, 4 Ta 3.14
Sb1 0.0000 0.0000 0.5000 (multiplicity 2)  4 Sb 3.14
Pb1 0.0000 0.5000 0.2170 (multiplicity 4)  4 Ta 3.08-3.41, 4 Pb 3.14

2.
ZnMo2Au: optimized geometry, PBE.

magnetization: 0.0 μB/f.u.
DFT formation energy: 0.1058 eV/atom

a b c (Å): 3.7923 3.7923 8.7419
angles (deg): 90.00 90.00 90.00
Last column: nearest neighbours and their distance in Å.
Space group I4/mmm (No. 139)
Asymmetric unit:
Zn1 0.0000 0.0000 0.0000 (multiplicity 2)  4 Au 2.68, 8 Mo 2.89
Mo1 0.0000 0.5000 0.2500 (multiplicity 4)  4 Mo 2.68, 4 Zn 2.89, 4 Au 2.89
Au1 0.0000 0.0000 0.5000 (multiplicity 2)  4 Zn 2.68, 8 Mo 2.89

3.
Er4PCS2: optimized geometry, PBE.

magnetization: 0.0 μB/f.u.
raw formation energy: -12.6 eV/f.u.

a b c (Å): 6.6444 3.7940 6.6843
angles (deg): 90.00 109.00 90.00
Last column: nearest neighbours and their distance in Å.
Space group P2/m (No. 10)
Asymmetric unit:
Er1 0.2232 0.0000 0.2196 (multiplicity 2)  2 C 2.56, 1 P 2.70, 1 S 2.74
Er2 0.2367 0.5000 0.7708 (multiplicity 2)  1 C 2.53, 2 P 2.69, 2 S 2.74
P1 0.5000 0.0000 0.0000 (multiplicity 1)  6 Er 2.69-2.70
C1 0.0000 0.5000 0.0000 (multiplicity 1)  6 Er 2.53-2.56
S1 0.0000 0.0000 0.5000 (multiplicity 1)  6 Er 2.74
S2 0.5000 0.5000 0.5000 (multiplicity 1)  6 Er 2.87-2.90

Number 1: final energy -5.375 eV/atom. Number 2: final energy -6.448 eV/atom. Number 3: final energy -6.715 eV/atom.